[1]
The following is a DFT calculation (GGA+U) of crystalline TaVI2O at its relaxed geometry.

Computed properties:
The total energy is -5.65 eV per atom. Its space group is P4/mmm (123).

Cell: 5.7931 5.7931 3.8852 Å, 90.00 90.00 90.00°
Closest atoms and distances in Å follow each position.
Fractional positions:
I1 0.0000 0.5000 0.0000  2 Ta 2.90
I2 0.5000 0.0000 0.0000  2 Ta 2.90
O1 0.0000 0.0000 0.5000  2 Ta 1.94
Ta1 0.0000 0.0000 0.0000  2 O 1.94
V1 0.5000 0.5000 0.5000  8 I 3.49, 2 V 3.89


[2]
The following is a DFT calculation (GGA+U) of crystalline TaVI2O at its relaxed geometry.

Computed properties:
The total energy is -5.23 eV per atom. Its space group is P4/mmm (123).

Cell: 5.6530 5.6530 3.6369 Å, 90.00 90.00 90.00°
Closest atoms and distances in Å follow each position.
Fractional positions:
I1 0.0000 0.5000 0.0000  2 V 2.83
I2 0.5000 0.0000 0.0000  2 V 2.83
V1 0.0000 0.0000 0.0000  2 O 1.82
O1 0.0000 0.0000 0.5000  2 V 1.82
Ta1 0.5000 0.5000 0.5000  8 I 3.36, 2 Ta 3.64


[3]
The following is a DFT calculation (GGA+U) of crystalline TaWI2O at its relaxed geometry.

Computed properties:
The total energy is -4.83 eV per atom. Its space group is P4/mmm (123).

Cell: 5.9043 5.9043 3.8187 Å, 90.00 90.00 90.00°
Closest atoms and distances in Å follow each position.
Fractional positions:
O1 0.0000 0.0000 0.5000  2 W 1.91
W1 0.0000 0.0000 0.0000  2 O 1.91
I1 0.0000 0.5000 0.0000  2 W 2.95
I2 0.5000 0.0000 0.0000  2 W 2.95
Ta1 0.5000 0.5000 0.5000  8 I 3.52, 2 Ta 3.82


[4]
The following is a DFT calculation (GGA+U) of crystalline TaWI2O at its relaxed geometry.

Computed properties:
The total energy is -5.30 eV per atom. Its space group is P4/mmm (123).

Cell: 5.8131 5.8131 3.8841 Å, 90.00 90.00 90.00°
Closest atoms and distances in Å follow each position.
Fractional positions:
W1 0.5000 0.5000 0.5000  8 I 3.50, 2 W 3.88
I1 0.5000 0.0000 0.0000  2 Ta 2.91
I2 0.0000 0.5000 0.0000  2 Ta 2.91
Ta1 0.0000 0.0000 0.0000  2 O 1.94
O1 0.0000 0.0000 0.5000  2 Ta 1.94


| no. | spin magnetization (μB per cell) | energy above the most stable polymorph in this dataset (meV/atom) |
| --- | --- | --- |
| 1 | 5.4 | 0 |
| 2 | 4.9 | 417 |
| 3 | 6.0 | 465 |
| 4 | 6.3 | 0 |